Cs3Ac3WO8 | GGA+U | optimized geometry

Structure (CIF):
```
data_Cs3Ac3WO8
_chemical_formula_sum 'Cs6 Ac6 W2 O16'
_symmetry_space_group_name_H-M 'C 1 2/m 1'
_symmetry_Int_Tables_number 12
_cell_length_a 12.9432
_cell_length_b 7.5259
_cell_length_c 8.2304
_cell_angle_alpha 90.00
_cell_angle_beta 121.70
_cell_angle_gamma 90.00
loop_
_symmetry_equiv_pos_as_xyz
'x,y,z'
'-x,-y,-z'
'-x,y,-z'
'x,-y,z'
'x+1/2,y+1/2,z'
'-x+1/2,-y+1/2,-z'
'-x+1/2,y+1/2,-z'
'x+1/2,-y+1/2,z'
loop_
_atom_site_label
_atom_site_type_symbol
_atom_site_fract_x
_atom_site_fract_y
_atom_site_fract_z
Cs1 Cs 0.0000 0.0000 0.0000
Cs2 Cs 0.2500 0.2500 0.0000
Ac1 Ac 0.0000 0.5000 0.5000
Ac2 Ac 0.2500 0.2500 0.5000
W1 W 0.0000 0.0000 0.5000
O1 O 0.0206 0.2193 0.3443
O2 O 0.1940 0.0000 0.6555
O3 O 0.2256 0.5000 0.6737
```

Theoretical density, g/cm3: 6.8
Total energy, eV for the cell shown: -195.05